Computed, not measured: an optimized crystal structure of MnZnCd2 at the GGA-PBE level of DFT.

```
MnZnCd2
1.0
2.9225 0.0000 0.0000
0.0000 4.3150 0.0000
-1.0031 0.0000 5.7649
Mn Zn Cd
1 1 2
direct
0.0000 0.0000 0.0000 Mn
0.0000 0.0000 0.5000 Zn
0.4265 0.5000 0.7515 Cd
0.5735 0.5000 0.2485 Cd
```

Output
- calculated total energy (eV per cell) = -11.47
- SG = P2/m, No. 10
- volume (Å³/atom) = 18.175
- formation energy (eV/atom) = 0.202
- size of the total moment (μB per atom) = 0.896

***

Computed, not measured: an optimized crystal structure of MnZnCd at the GGA-PBE level of DFT.

```
MnZnCd
1.0
4.5327 0.0000 0.0000
-2.2663 3.9254 0.0000
0.0000 0.0000 2.8539
Mn Zn Cd
1 1 1
direct
0.0000 0.0000 0.0000 Mn
0.3333 0.6667 0.4666 Zn
0.6667 0.3333 0.5159 Cd
```

Output
- calculated total energy (eV per cell) = -10.74
- SG = P3m1, No. 156
- volume (Å³/atom) = 16.926
- formation energy (eV/atom) = 0.205
- size of the total moment (μB per atom) = 1.199

***

Computed, not measured: an optimized crystal structure of MnZnCd2 at the GGA-PBE level of DFT.

```
MnZnCd2
1.0
2.9624 -4.0812 0.0000
2.9624 4.0812 0.0000
-0.0077 0.0000 2.9991
Mn Zn Cd
1 1 2
direct
0.0000 0.0000 0.0000 Mn
0.5000 0.5000 0.0000 Zn
0.0000 0.5000 0.5000 Cd
0.5000 0.0000 0.5000 Cd
```

Output
- calculated total energy (eV per cell) = -11.51
- SG = C2/m, No. 12
- volume (Å³/atom) = 18.129
- formation energy (eV/atom) = 0.192
- size of the total moment (μB per atom) = 0.869